Run i
# PBE Cr2FeIr, optimized geometry
# N(E_F) ... 5.2 states/eV/f.u.
data_Cr2FeIr
_chemical_formula_sum 'Cr2 Fe1 Ir1'
_cell_length_a 2.592
_cell_length_b 2.592
_cell_length_c 8.157
_cell_angle_alpha 90.00
_cell_angle_beta 90.00
_cell_angle_gamma 112.45
_space_group_name_H-M_alt 'P 1'
_space_group_IT_number 1
loop_
_space_group_symop_operation_xyz
'x,y,z'
loop_
_atom_site_label
_atom_site_type_symbol
_atom_site_fract_x
_atom_site_fract_y
_atom_site_fract_z
Cr1 Cr 0.000 0.000 0.017
Cr2 Cr 0.500 0.500 0.244
Fe1 Fe 0.000 0.000 0.486
Ir1 Ir 0.500 0.500 0.753

Run ii
# PBE Cr2FeIr, optimized geometry
# N(E_F) ... 4.1 states/eV/f.u.
data_Cr2FeIr
_chemical_formula_sum 'Cr2 Fe1 Ir1'
_cell_length_a 4.492
_cell_length_b 4.493
_cell_length_c 4.493
_cell_angle_alpha 132.09
_cell_angle_beta 132.09
_cell_angle_gamma 70.09
_space_group_name_H-M_alt 'P 1'
_space_group_IT_number 1
loop_
_space_group_symop_operation_xyz
'x,y,z'
loop_
_atom_site_label
_atom_site_type_symbol
_atom_site_fract_x
_atom_site_fract_y
_atom_site_fract_z
Ir1 Ir 0.750 0.250 0.500
Cr1 Cr 0.500 0.500 0.000
Fe1 Fe 0.250 0.750 0.500
Cr2 Cr 0.000 0.000 0.000

Stability check: which of them is most stable? run ii.